This record from Alexandria via LeMat-Bulk describes a geometry-optimized Pm2GaSiRh6 structure. The functional is PBE.

magnetization	0.000	μB/cell
formation energy (no corrections)	-482	meV per atom
N(E_F)	8.31	states/eV per cell

a b c (Å): 6.4245 6.4245 6.4245
angles (deg): 120.07 119.93 90.00
With the nearest neighbours (Å) after each atom.
Positions (direct):
Pm: 0.2500 0.2500 0.0000  12 Rh 3.21-3.22
Pm: 0.7500 0.7500 0.0000  12 Rh 3.21-3.22
Ga: 0.5000 0.0000 0.5000  6 Rh 2.33
Si: 0.0000 0.5000 0.5000  6 Rh 2.22
Rh: 0.2438 0.2562 0.5000  1 Si 2.22, 1 Ga 2.33
Rh: 0.2438 0.7438 0.5000  1 Si 2.22, 1 Ga 2.33
Rh: 0.2438 0.7438 0.9877  1 Si 2.22, 1 Ga 2.33
Rh: 0.7562 0.2562 0.0123  1 Si 2.22, 1 Ga 2.33
Rh: 0.7562 0.2562 0.5000  1 Si 2.22, 1 Ga 2.33
Rh: 0.7562 0.7438 0.5000  1 Si 2.22, 1 Ga 2.33